This record from Alexandria describes a relaxed Ho3Pd4 crystal. The functional is PBEsol.

Summary:
V in Å³/cell: 272.4
DFT formation energy in eV per atom: -0.932
N(E_F) in states/eV/cell: 5.579

Geometry as POSCAR:
```
Ho3Pd4
1.0
6.470 3.735 1.878
-6.470 3.735 1.878
0.000 -7.471 1.878
Ho Pd
6 8
Cartesian
-1.633 -1.904 1.326
-0.833 2.366 1.326
2.466 -0.462 1.326
-2.466 0.462 4.309
0.833 -2.366 4.309
1.633 1.904 4.309
0.000 0.000 0.000
-3.138 0.581 1.573
1.066 -3.008 1.573
-2.072 -2.427 4.062
0.000 0.000 2.818
2.072 2.427 1.573
-1.066 3.008 4.062
3.138 -0.581 4.062
```


This record from Alexandria describes a relaxed HoPd3 crystal. The functional is PBEsol.

Summary:
V in Å³/cell: 65.6
DFT formation energy in eV per atom: -0.907
N(E_F) in states/eV/cell: 2.262

Geometry as POSCAR:
```
HoPd3
1.0
4.034 0.000 0.000
0.000 4.034 0.000
0.000 0.000 4.034
Ho Pd
1 3
Cartesian
0.000 0.000 0.000
0.000 2.017 2.017
2.017 0.000 2.017
2.017 2.017 0.000
```


This record from Alexandria describes a relaxed HoPd3S4 crystal. The functional is PBEsol.

Summary:
V in Å³/cell: 284.8
N(E_F) in states/eV/cell: 6.110
Electronic total energy in eV/atom: -5.995

Geometry as POSCAR:
```
HoPd3S4
1.0
6.580 0.000 0.000
0.000 6.580 0.000
0.000 0.000 6.580
Ho Pd S
2 6 8
Cartesian
0.000 0.000 0.000
3.290 3.290 3.290
0.000 1.645 3.290
0.000 4.935 3.290
1.645 3.290 0.000
3.290 0.000 1.645
3.290 0.000 4.935
4.935 3.290 0.000
1.645 1.645 1.645
1.645 1.645 4.935
1.645 4.935 1.645
1.645 4.935 4.935
4.935 1.645 1.645
4.935 1.645 4.935
4.935 4.935 1.645
4.935 4.935 4.935
```


This record from Alexandria describes a relaxed Ho5Sb2Pd crystal. The functional is PBEsol.

Summary:
V in Å³/cell: 819.0
N(E_F) in states/eV/cell: 26.545
Electronic total energy in eV/atom: -5.838

Geometry as POSCAR:
```
Ho5Sb2Pd
1.0
11.941 0.000 0.000
0.000 8.819 0.000
0.000 0.000 7.778
Ho Sb Pd
20 8 4
Cartesian
0.011 2.205 0.311
0.811 0.414 5.310
0.811 3.995 5.310
2.403 6.614 2.836
2.563 2.205 2.600
3.407 6.614 6.489
3.568 2.205 6.724
5.160 4.823 1.422
5.160 8.405 1.422
5.960 6.614 4.200
5.981 2.205 3.578
6.782 0.414 6.356
6.782 3.995 6.356
8.374 6.614 1.053
8.534 2.205 1.288
9.378 6.614 5.177
9.539 2.205 4.942
11.130 4.823 2.467
11.130 8.405 2.467
11.931 6.614 7.466
2.068 4.481 0.524
2.068 8.747 0.524
3.903 0.071 4.412
3.903 4.338 4.412
8.039 4.481 3.365
8.039 8.747 3.365
9.874 0.071 7.254
9.874 4.338 7.254
0.183 6.614 4.534
5.788 2.205 0.645
6.154 6.614 7.132
11.758 2.205 3.243
```


This record from Alexandria describes a relaxed Ho3Sb4Pd8 crystal. The functional is PBEsol.

Summary:
V in Å³/cell: 552.5
N(E_F) in states/eV/cell: 15.279
Electronic total energy in eV/atom: -6.245

Geometry as POSCAR:
```
Ho3Sb4Pd8
1.0
0.000 6.513 6.513
6.513 0.000 6.513
6.513 6.513 0.000
Ho Sb Pd
6 8 16
Cartesian
6.513 6.513 2.933
6.513 2.933 6.513
10.093 6.513 6.513
2.933 6.513 6.513
6.513 10.093 6.513
6.513 6.513 10.093
0.000 0.000 0.000
3.256 3.256 0.000
3.256 0.000 3.256
6.513 3.256 3.256
0.000 3.256 3.256
3.256 6.513 3.256
3.256 3.256 6.513
6.513 6.513 6.513
8.061 4.965 4.965
2.177 2.177 2.177
4.336 4.336 2.177
4.336 2.177 4.336
4.965 4.965 4.965
8.061 8.061 4.965
8.061 4.965 8.061
2.177 4.336 4.336
10.848 8.690 8.690
4.965 8.061 4.965
4.965 4.965 8.061
8.061 8.061 8.061
8.690 10.848 8.690
8.690 8.690 10.848
10.848 10.848 10.848
4.965 8.061 8.061
```


This record from Alexandria describes a relaxed HoSiPd2 crystal. The functional is PBEsol.

Summary:
V in Å³/cell: 270.2
N(E_F) in states/eV/cell: 5.761
Electronic total energy in eV/atom: -6.691

Geometry as POSCAR:
```
HoSiPd2
1.0
7.208 0.000 0.000
0.000 6.891 0.000
0.000 0.000 5.439
Ho Si Pd
4 4 8
Cartesian
0.202 1.723 0.763
3.402 5.169 3.482
3.806 1.723 1.956
7.006 5.169 4.676
0.871 5.169 1.951
2.733 1.723 4.671
4.475 5.169 0.768
6.337 1.723 3.488
1.285 0.358 3.228
1.285 3.088 3.228
2.319 3.803 0.508
2.319 6.534 0.508
4.889 0.358 4.931
4.889 3.088 4.931
5.923 3.803 2.211
5.923 6.534 2.211
```


This record from Alexandria describes a relaxed HoSnPd2 crystal. The functional is PBEsol.

Summary:
V in Å³/cell: 73.9
DFT formation energy in eV per atom: -0.904
N(E_F) in states/eV/cell: 1.871

Geometry as POSCAR:
```
HoSnPd2
1.0
0.000 3.330 3.330
3.330 0.000 3.330
3.330 3.330 0.000
Ho Sn Pd
1 1 2
Cartesian
0.000 0.000 0.000
3.330 3.330 3.330
1.665 1.665 1.665
4.995 4.995 4.995
```


This record from Alexandria describes a relaxed HoTmPd2 crystal. The functional is PBEsol.

Summary:
V in Å³/cell: 80.0
DFT formation energy in eV per atom: -0.911
N(E_F) in states/eV/cell: 2.204

Geometry as POSCAR:
```
HoTmPd2
1.0
0.000 3.421 3.421
3.421 0.000 3.421
3.421 3.421 0.000
Ho Tm Pd
1 1 2
Cartesian
0.000 0.000 0.000
3.421 3.421 3.421
1.710 1.710 1.710
5.131 5.131 5.131
```


This record from Alexandria describes a relaxed HoZnPd2 crystal. The functional is PBEsol.

Summary:
V in Å³/cell: 67.8
DFT formation energy in eV per atom: -0.732
N(E_F) in states/eV/cell: 2.080

Geometry as POSCAR:
```
HoZnPd2
1.0
0.000 3.236 3.236
3.236 0.000 3.236
3.236 3.236 0.000
Ho Zn Pd
1 1 2
Cartesian
0.000 0.000 0.000
3.236 3.236 3.236
1.618 1.618 1.618
4.853 4.853 4.853
```


This record from Alexandria describes a relaxed PmHo crystal. The functional is PBEsol.

Summary:
V in Å³/cell: 61.7
DFT formation energy in eV per atom: 0.030
N(E_F) in states/eV/cell: 3.266

Geometry as POSCAR:
```
PmHo
1.0
3.554 0.000 0.000
-1.777 3.078 0.000
0.000 0.000 5.638
Pm Ho
1 1
Cartesian
0.000 0.000 0.000
1.777 1.026 2.819
```


This record from Alexandria describes a relaxed PmHoRh2 crystal. The functional is PBEsol.

Summary:
V in Å³/cell: 79.2
DFT formation energy in eV per atom: -0.730
N(E_F) in states/eV/cell: 2.354

Geometry as POSCAR:
```
PmHoRh2
1.0
0.000 3.409 3.409
3.409 0.000 3.409
3.409 3.409 0.000
Pm Ho Rh
1 1 2
Cartesian
0.000 0.000 0.000
3.409 3.409 3.409
1.704 1.704 1.704
5.113 5.113 5.113
```


This record from Alexandria describes a relaxed PmHoZn2 crystal. The functional is PBEsol.

Summary:
V in Å³/cell: 88.3
DFT formation energy in eV per atom: -0.321
N(E_F) in states/eV/cell: 4.236

Geometry as POSCAR:
```
PmHoZn2
1.0
0.000 3.535 3.535
3.535 0.000 3.535
3.535 3.535 0.000
Pm Ho Zn
1 1 2
Cartesian
0.000 0.000 0.000
3.535 3.535 3.535
1.768 1.768 1.768
5.303 5.303 5.303
```


This record from Alexandria describes a relaxed PrHo crystal. The functional is PBEsol.

Summary:
V in Å³/cell: 63.4
DFT formation energy in eV per atom: 0.041
N(E_F) in states/eV/cell: 3.204

Geometry as POSCAR:
```
PrHo
1.0
3.581 0.000 0.000
-1.790 3.101 0.000
0.000 0.000 5.707
Pr Ho
1 1
Cartesian
0.000 0.000 0.000
1.790 1.034 2.854
```


This record from Alexandria describes a relaxed PrHo3S6 crystal. The functional is PBEsol.

Summary:
V in Å³/cell: 453.5
Electronic total energy in eV/atom: -6.767

Geometry as POSCAR:
```
PrHo3S6
1.0
10.892 0.000 0.000
0.000 3.927 0.000
-3.616 0.000 10.602
Pr Ho S
2 6 12
Cartesian
-0.163 0.982 2.075
7.440 2.945 8.526
-0.372 0.982 6.218
-0.120 2.945 10.584
3.611 0.982 3.527
3.665 2.945 7.075
7.397 0.982 0.017
7.649 2.945 4.384
-0.556 2.945 4.304
-2.178 0.982 10.220
-0.564 2.945 7.941
2.064 2.945 2.417
2.274 0.982 5.906
4.830 0.982 1.194
2.447 2.945 9.408
5.003 2.945 4.695
5.213 0.982 8.185
7.840 0.982 2.661
9.455 2.945 0.381
7.832 0.982 6.297
```


This record from Alexandria describes a relaxed Ho3Pt crystal. The functional is PBEsol.

Summary:
V in Å³/cell: 409.3
DFT formation energy in eV per atom: -0.700
N(E_F) in states/eV/cell: 16.365

Geometry as POSCAR:
```
Ho3Pt
1.0
6.893 0.000 0.000
0.000 9.331 0.000
0.000 0.000 6.364
Ho Pt
12 4
Cartesian
0.164 2.333 0.804
1.251 0.551 4.322
1.251 4.114 4.322
2.195 5.217 1.140
2.195 8.780 1.140
3.283 6.998 3.986
3.610 2.333 2.378
4.698 0.551 5.224
4.698 4.114 5.224
5.642 5.217 2.042
5.642 8.780 2.042
6.729 6.998 5.560
0.758 6.998 2.871
2.688 2.333 6.053
4.204 6.998 0.311
6.135 2.333 3.494
```


This record from Alexandria describes a relaxed HoPt crystal. The functional is PBEsol.

Summary:
V in Å³/cell: 167.0
DFT formation energy in eV per atom: -1.264
N(E_F) in states/eV/cell: 4.096

Geometry as POSCAR:
```
HoPt
1.0
6.818 0.000 0.000
0.000 4.475 0.000
0.000 0.000 5.474
Ho Pt
4 4
Cartesian
1.238 1.119 0.775
2.171 3.356 3.512
4.647 1.119 1.962
5.580 3.356 4.699
0.292 1.119 3.588
3.117 3.356 0.851
3.701 1.119 4.623
6.526 3.356 1.886
```


This record from Alexandria describes a relaxed Ho2Pt crystal. The functional is PBEsol.

Summary:
V in Å³/cell: 282.1
DFT formation energy in eV per atom: -0.943
N(E_F) in states/eV/cell: 10.569

Geometry as POSCAR:
```
Ho2Pt
1.0
6.988 0.000 0.000
0.000 4.675 0.000
0.000 0.000 8.634
Ho Pt
8 4
Cartesian
0.066 1.169 1.465
1.018 1.169 5.013
2.476 3.506 0.696
3.428 3.506 5.782
3.560 1.169 2.852
4.512 1.169 7.938
5.970 3.506 3.621
6.922 3.506 7.169
1.683 1.169 7.831
1.811 3.506 3.515
5.178 1.169 5.119
5.305 3.506 0.802
```


This record from Alexandria describes a relaxed Ho3Pt4 crystal. The functional is PBEsol.

Summary:
V in Å³/cell: 272.7
DFT formation energy in eV per atom: -1.208
N(E_F) in states/eV/cell: 4.689

Geometry as POSCAR:
```
Ho3Pt4
1.0
6.473 3.737 1.879
-6.473 3.737 1.879
0.000 -7.475 1.879
Ho Pt
6 8
Cartesian
-1.640 -1.886 1.335
-0.814 2.363 1.335
2.453 -0.477 1.335
-2.453 0.477 4.302
0.814 -2.363 4.302
1.640 1.886 4.302
0.000 0.000 0.000
-3.165 0.592 1.576
1.069 -3.037 1.576
-2.096 -2.445 4.061
0.000 0.000 2.818
2.096 2.445 1.576
-1.069 3.037 4.061
3.165 -0.592 4.061
```


This record from Alexandria describes a relaxed Ho5Pt4 crystal. The functional is PBEsol.

Summary:
V in Å³/cell: 785.2
DFT formation energy in eV per atom: -1.148
N(E_F) in states/eV/cell: 23.051

Geometry as POSCAR:
```
Ho5Pt4
1.0
7.353 0.000 0.000
0.000 14.316 0.000
0.000 0.000 7.459
Ho Pt
20 16
Cartesian
0.005 1.332 1.340
0.005 5.826 1.340
1.150 1.759 4.974
1.150 5.399 4.974
1.331 10.737 3.812
2.345 3.579 0.083
2.526 8.917 1.244
2.526 12.558 1.244
3.671 8.490 5.070
3.671 12.984 5.070
3.682 1.332 2.390
3.682 5.826 2.390
4.827 1.759 6.215
4.827 5.399 6.215
5.007 10.737 7.377
6.022 3.579 3.647
6.203 8.917 2.485
6.203 12.558 2.485
7.348 8.490 6.119
7.348 12.984 6.119
0.342 10.737 0.830
1.349 7.747 3.478
1.349 13.727 3.478
1.354 3.579 2.658
2.322 10.737 6.388
2.328 0.589 7.207
2.328 6.569 7.207
3.334 3.579 4.559
4.019 10.737 2.900
5.025 7.747 0.252
5.025 13.727 0.252
5.031 3.579 1.072
5.998 10.737 4.801
6.004 0.589 3.982
6.004 6.569 3.982
7.011 3.579 6.629
```


This record from Alexandria describes a relaxed HoSiPt crystal. The functional is PBEsol.

Summary:
V in Å³/cell: 214.8
N(E_F) in states/eV/cell: 5.098
Electronic total energy in eV/atom: -7.140

Geometry as POSCAR:
```
HoSiPt
1.0
6.880 0.000 0.000
0.000 4.243 0.000
0.000 0.000 7.360
Ho Si Pt
4 4 4
Cartesian
0.025 1.061 1.465
3.415 3.182 5.145
3.465 1.061 2.214
6.855 3.182 5.894
1.276 1.061 4.324
2.164 3.182 0.644
4.716 1.061 6.716
5.604 3.182 3.036
1.370 3.182 3.047
2.070 1.061 6.727
4.810 3.182 0.632
5.510 1.061 4.312
```